! CaTeBr, optimized geometry, DFT PBE; values from VASP
&SYSTEM
  ibrav = 0, nat = 3, ntyp = 3
/
ATOMIC_SPECIES
Ca 40.08 Ca.upf
Te 127.60 Te.upf
Br 79.90 Br.upf
CELL_PARAMETERS angstrom
5.1505 0.0000 0.0000
-2.5753 4.4605 0.0000
0.0000 0.0000 3.8441
ATOMIC_POSITIONS crystal
Ca 0.6667 0.3333 0.1664
Te 0.3333 0.6667 0.6668
Br 0.0000 0.0000 0.1669
! Symmetry ... P-6m2
! Density ... 4.66 g cm⁻³
! DOS(E_F) ... 3.3 states/eV/f.u.
! Formation energy (no corrections) ... -3.1 eV per formula unit
! V ... 88.31 Å³ per cell

! Zn4PtW, optimized geometry, DFT PBE; values from VASP
&SYSTEM
  ibrav = 0, nat = 6, ntyp = 3
/
ATOMIC_SPECIES
Pt 195.08 Pt.upf
Zn 65.41 Zn.upf
W 183.84 W.upf
CELL_PARAMETERS angstrom
2.3451 -3.9917 -1.7627
-2.3698 -3.1338 -3.0172
1.2326 -0.2335 -4.7923
ATOMIC_POSITIONS crystal
Pt 0.7500 0.7500 0.7500
Zn 0.3740 0.8781 0.3740
Zn 0.3740 0.3740 0.8781
Zn 0.3740 0.3740 0.3740
Zn 0.8781 0.3740 0.3740
W 0.0000 0.0000 0.0000
! Symmetry ... F-43m
! DFT total energy ... -3.81 eV/atom
! Density ... 12.37 g cm⁻³
! DOS(E_F) ... 5.0 states/eV/f.u.
! V ... 85.96 Å³ per cell

! Sm2BeNi12P3, optimized geometry, DFT PBE; values from VASP
&SYSTEM
  ibrav = 0, nat = 18, ntyp = 4
/
ATOMIC_SPECIES
Ni 58.69 Ni.upf
Sm 150.36 Sm.upf
P 30.97 P.upf
Be 9.01 Be.upf
CELL_PARAMETERS angstrom
-7.4275 -3.0275 1.5677
-5.5220 -4.1902 -4.3290
-3.1499 -7.5267 0.4662
ATOMIC_POSITIONS crystal
Ni 0.4073 0.8186 0.4073
Ni 0.5927 0.5927 0.1814
Ni 0.8186 0.4073 0.4073
Ni 0.3333 0.9351 0.9351
Ni 0.0649 0.6667 0.0649
Ni 0.9351 0.9351 0.3333
Ni 0.4073 0.4073 0.8186
Ni 0.5927 0.1814 0.5927
Ni 0.9351 0.3333 0.9351
Ni 0.6667 0.0649 0.0649
Ni 0.1814 0.5927 0.5927
Ni 0.0649 0.0649 0.6667
Sm 0.6567 0.6567 0.6567
Sm 0.3433 0.3433 0.3433
P 0.0000 0.0000 0.5000
P 0.5000 0.0000 0.0000
P 0.0000 0.5000 0.0000
Be 0.0000 0.0000 0.0000
! Symmetry ... R-3m
! DFT total energy ... -5.66 eV/atom
! Density ... 7.30 g cm⁻³
! DOS(E_F) ... 13.5 states/eV/f.u.
! V ... 251.91 Å³ per cell

! Tb5Nd4Sm, optimized geometry, DFT PBE; values from VASP
&SYSTEM
  ibrav = 0, nat = 10, ntyp = 3
/
ATOMIC_SPECIES
Nd 144.24 Nd.upf
Tb 158.93 Tb.upf
Sm 150.36 Sm.upf
CELL_PARAMETERS angstrom
-3.0415 -0.7816 1.6823
-1.2634 -9.1105 -6.5236
5.9424 -4.3365 4.9338
ATOMIC_POSITIONS crystal
Nd 0.9678 0.2510 0.9382
Nd 0.0322 0.7490 0.0618
Nd 0.3450 0.7501 0.6889
Nd 0.6550 0.2499 0.3111
Tb 0.1730 0.5507 0.3469
Tb 0.5000 0.5000 0.0000
Tb 0.1733 0.9472 0.3483
Tb 0.8267 0.0528 0.6517
Tb 0.8270 0.4493 0.6531
Sm 0.5000 0.0000 0.0000
! Symmetry ... P-1
! DFT total energy ... -4.51 eV/atom
! Density ... 7.25 g cm⁻³
! DOS(E_F) ... 14.2 states/eV/f.u.
! V ... 348.48 Å³ per cell

! TaAgPt2, optimized geometry, DFT PBE; values from VASP
&SYSTEM
  ibrav = 0, nat = 4, ntyp = 3
/
ATOMIC_SPECIES
Ta 180.95 Ta.upf
Pt 195.08 Pt.upf
Ag 107.87 Ag.upf
CELL_PARAMETERS angstrom
-1.4033 2.4653 -0.4657
-3.6177 -2.0491 0.0538
-0.3803 0.8146 5.4585
ATOMIC_POSITIONS crystal
Ta 0.0000 0.0000 0.4819
Pt 0.0000 0.0000 0.9889
Pt 0.5000 0.5000 0.2676
Ag 0.5000 0.5000 0.7616
! Symmetry ... Pmm2
! DFT total energy ... -6.94 eV/atom
! Density ... 17.05 g cm⁻³
! DOS(E_F) ... 2.6 states/eV/f.u.
! V ... 66.13 Å³ per cell

! Ce5Te5Pt, optimized geometry, DFT PBE; values from VASP
&SYSTEM
  ibrav = 0, nat = 11, ntyp = 3
/
ATOMIC_SPECIES
Te 127.60 Te.upf
Ce 140.12 Ce.upf
Pt 195.08 Pt.upf
CELL_PARAMETERS angstrom
6.3249 0.0000 0.0000
-3.1625 7.0567 -0.0855
0.0000 -2.7630 8.3549
ATOMIC_POSITIONS crystal
Te 0.3198 0.6396 0.6646
Te 0.0000 0.0000 0.5000
Te 0.6802 0.3604 0.3354
Te 0.6626 0.3251 0.8228
Te 0.3374 0.6749 0.1772
Ce 0.8470 0.6940 0.1539
Ce 0.8467 0.6934 0.6889
Ce 0.5000 0.0000 0.0000
Ce 0.1533 0.3066 0.3111
Ce 0.1530 0.3060 0.8461
Pt 0.0000 0.0000 0.0000
! Symmetry ... C2/m
! Density ... 6.86 g cm⁻³
! DOS(E_F) ... 35.3 states/eV/f.u.
! Formation energy (no corrections) ... -13.7 eV per formula unit
! V ... 371.41 Å³ per cell

Among the records above, which one has the highest V?
Ce5Te5Pt

Among the records above, which one has the highest V?
Ce5Te5Pt

What did the first record say?
! CaTeBr, optimized geometry, DFT PBE; values from VASP
&SYSTEM
  ibrav = 0, nat = 3, ntyp = 3
/
ATOMIC_SPECIES
Ca 40.08 Ca.upf
Te 127.60 Te.upf
Br 79.90 Br.upf
CELL_PARAMETERS angstrom
5.1505 0.0000 0.0000
-2.5753 4.4605 0.0000
0.0000 0.0000 3.8441
ATOMIC_POSITIONS crystal
Ca 0.6667 0.3333 0.1664
Te 0.3333 0.6667 0.6668
Br 0.0000 0.0000 0.1669
! Symmetry ... P-6m2
! Density ... 4.66 g cm⁻³
! DOS(E_F) ... 3.3 states/eV/f.u.
! Formation energy (no corrections) ... -3.1 eV per formula unit
! V ... 88.31 Å³ per cell

What is the V in the sixth record?
371.41 Å³ per cell